Entry 1:
Pr2PaCu: optimized geometry, PBE.

Lattice parameters (Å, degrees): 3.3287 3.3287 33.7412 90.00 90.00 120.00
Closest atoms and distances in Å follow each position.
Space group R-3m (No. 166, hexagonal axes)
Unique sites:
Pr 0.0000 0.0000 0.0980 x6  3 Cu 3.01, 1 Pa 3.31, 6 Pr 3.33
Pa 0.0000 0.0000 0.0000 x3  2 Pr 3.31, 6 Pa 3.33
Cu 0.0000 0.0000 0.5000 x3  6 Pr 3.01, 6 Cu 3.33

- formation enthalpy at 0 K (eV/atom) = 0.399
- ρ (g cm⁻³) = 8.87
- D(E_F) (states/eV/cell) = 14.525

Entry 2:
AcHPt: optimized geometry, PBE.

Lattice parameters (Å, degrees): 3.9345 11.5398 5.1294 90.00 90.00 90.00
Closest atoms and distances in Å follow each position.
Space group Cmcm (No. 63)
Unique sites:
Ac 0.0000 0.1335 0.2500 x4  3 H 2.59-2.73
H 0.0000 0.1034 0.7500 x4  2 Pt 1.97
Pt 0.0000 0.4068 0.2500 x4  2 H 1.97

- ρ (g cm⁻³) = 12.07
- E (eV per atom) = -5.2949
- D(E_F) (states/eV/cell) = 4.206

Entry 3:
SrSmPtRh: optimized geometry, PBE.

Lattice parameters (Å, degrees): 7.1579 7.1579 7.1579 90.00 90.00 90.00
Closest atoms and distances in Å follow each position.
Space group F-43m (No. 216)
Unique sites:
Sr 0.0000 0.0000 0.0000 x4  4 Rh 3.10, 4 Pt 3.10
Sm 0.0000 0.0000 0.5000 x4  4 Rh 3.10, 4 Pt 3.10
Pt 0.2500 0.2500 0.2500 x4  4 Sr 3.10, 4 Sm 3.10
Rh 0.2500 0.2500 0.7500 x4  4 Sr 3.10, 4 Sm 3.10

- formation enthalpy at 0 K (eV/atom) = -0.635
- ρ (g cm⁻³) = 9.71
- D(E_F) (states/eV/cell) = 11.446

Entry 4:
CaReAg2: optimized geometry, PBE.

Lattice parameters (Å, degrees): 2.8310 5.1738 10.8517 90.00 90.00 90.00
Closest atoms and distances in Å follow each position.
Space group Immm (No. 71)
Unique sites:
Ca 0.0000 0.0000 0.0000 x2  2 Ca 2.83, 4 Re 2.95
Re 0.0000 0.0000 0.5000 x2  4 Ag 2.80, 2 Re 2.83, 4 Ca 2.95
Ag 0.0000 0.5000 0.2231 x4  2 Re 2.80, 6 Ag 2.83-3.01

- formation enthalpy at 0 K (eV/atom) = 0.604
- ρ (g cm⁻³) = 9.24
- D(E_F) (states/eV/cell) = 4.270